A plane-wave DFT calculation with PBE+U was carried out for crystalline Li2MoP5O15 at its relaxed geometry.

Unit cell a=14.171 b=5.339 c=8.940 alpha=77.73 beta=90.00 gamma=90.00
Site moments in Bohr magnetons follow the coordinates.
Sites, in units of the cell vectors:
Li (0.352, 0.159, 0.904)  0.00
Li (0.648, 0.841, 0.096)  0.00
Li (0.148, 0.159, 0.904)  0.00
Li (0.852, 0.841, 0.096)  0.00
Mo (0.000, 0.500, 0.500)  2.76
Mo (0.500, 0.500, 0.500)  2.76
P (0.855, 0.987, 0.523)  0.01
P (0.645, 0.987, 0.523)  0.01
P (0.250, 0.620, 0.006)  0.00
P (0.145, 0.013, 0.477)  0.01
P (0.413, 0.357, 0.179)  0.00
P (0.087, 0.357, 0.179)  0.00
P (0.750, 0.380, 0.994)  0.00
P (0.587, 0.643, 0.821)  0.00
P (0.355, 0.013, 0.477)  0.01
P (0.913, 0.643, 0.821)  0.00
O (0.511, 0.535, 0.733)  0.01
O (0.083, 0.156, 0.569)  0.01
O (0.060, 0.230, 0.053)  0.00
O (0.583, 0.844, 0.431)  0.01
O (0.011, 0.465, 0.267)  0.01
O (0.750, 0.958, 0.464)  0.00
O (0.125, 0.733, 0.487)  0.01
O (0.917, 0.844, 0.431)  0.01
O (0.338, 0.587, 0.123)  0.00
O (0.151, 0.157, 0.302)  0.00
O (0.375, 0.733, 0.487)  0.01
O (0.560, 0.770, 0.947)  0.00
O (0.250, 0.896, 0.923)  0.00
O (0.849, 0.843, 0.698)  0.00
O (0.349, 0.157, 0.302)  0.00
O (0.750, 0.587, 0.085)  0.00
O (0.250, 0.413, 0.915)  0.00
O (0.250, 0.042, 0.536)  0.00
O (0.162, 0.587, 0.123)  0.00
O (0.875, 0.267, 0.513)  0.01
O (0.940, 0.770, 0.947)  0.00
O (0.651, 0.843, 0.698)  0.00
O (0.440, 0.230, 0.053)  0.00
O (0.662, 0.413, 0.877)  0.00
O (0.625, 0.267, 0.513)  0.01
O (0.838, 0.413, 0.877)  0.00
O (0.489, 0.465, 0.267)  0.01
O (0.750, 0.104, 0.077)  0.00
O (0.417, 0.156, 0.569)  0.01
O (0.989, 0.535, 0.733)  0.01

Its total moment is 3.00 μB/f.u. The uncorrected energy is -7.037 eV/atom. The symmetry is P2_1/m.